Here is InCu2Pb2 after structural relaxation from Alexandria via LeMat-Bulk. Energies are from PBE.

Lattice parameters (Å, degrees): 6.379 6.379 6.379 136.07 136.07 63.88
Sites, in units of the cell vectors:
1 In 0.000 0.000 0.000
2 Cu 0.390 0.390 0.000
3 Cu 0.610 0.610 0.000
4 Pb 0.250 0.750 0.500
5 Pb 0.750 0.250 0.500

The value obtained for the total magnetization is 0.00 μB per formula unit. The density of states at the Fermi level is 2.43 states/eV/cell. As for the crystal system: tetragonal. Its calculated formation energy is 306 meV per atom. The volume is 123.27 Å³/cell.

Here is TaNb2Co2 after structural relaxation from Alexandria via LeMat-Bulk. Energies are from PBE.

Lattice parameters (Å, degrees): 7.339 7.339 2.869 90.00 90.00 90.00
Sites, in units of the cell vectors:
1 Ta 0.000 0.000 0.000
2 Ta 0.500 0.500 0.000
3 Nb 0.160 0.340 0.000
4 Nb 0.340 0.840 0.000
5 Nb 0.660 0.160 0.000
6 Nb 0.840 0.660 0.000
7 Co 0.136 0.636 0.500
8 Co 0.364 0.136 0.500
9 Co 0.636 0.864 0.500
10 Co 0.864 0.364 0.500

The value obtained for the total magnetization is 0.00 μB per formula unit. The density of states at the Fermi level is 10.69 states/eV/cell. As for the crystal system: tetragonal. Its calculated formation energy is 142 meV per atom. The volume is 154.51 Å³/cell.

Here is YAg2W after structural relaxation from Alexandria via LeMat-Bulk. Energies are from PBE.

Lattice parameters (Å, degrees): 5.901 5.901 5.901 150.52 127.88 61.02
Sites, in units of the cell vectors:
1 Y 0.000 0.000 0.000
2 Ag 0.268 0.768 0.500
3 Ag 0.505 0.505 0.000
4 W 0.743 0.243 0.500

The value obtained for the total magnetization is 0.00 μB per formula unit. The density of states at the Fermi level is 4.26 states/eV/cell. As for the crystal system: orthorhombic. Its calculated formation energy is 518 meV per atom. The volume is 79.14 Å³/cell.

Here is BaPrHg3 after structural relaxation from Alexandria via LeMat-Bulk. Energies are from PBE.

Lattice parameters (Å, degrees): 15.420 15.420 5.097 90.00 90.00 164.89
Sites, in units of the cell vectors:
1 Ba 0.077 0.923 0.750
2 Ba 0.923 0.077 0.250
3 Pr 0.209 0.791 0.250
4 Pr 0.791 0.209 0.750
5 Hg 0.314 0.686 0.250
6 Hg 0.374 0.626 0.750
7 Hg 0.474 0.526 0.750
8 Hg 0.526 0.474 0.250
9 Hg 0.626 0.374 0.250
10 Hg 0.686 0.314 0.750

The value obtained for the total magnetization is 0.00 μB per formula unit. The density of states at the Fermi level is 7.66 states/eV/cell. As for the crystal system: orthorhombic. Its calculated formation energy is -463 meV per atom. The volume is 315.86 Å³/cell.

Here is Mn2CrCl after structural relaxation from Alexandria via LeMat-Bulk. Energies are from PBE.

Lattice parameters (Å, degrees): 4.755 4.755 3.030 90.09 90.09 112.58
Sites, in units of the cell vectors:
1 Mn 0.000 0.500 0.000
2 Mn 0.500 0.000 0.000
3 Cr 0.000 0.000 0.500
4 Cl 0.500 0.500 0.500

The value obtained for the total magnetization is 4.50 μB per formula unit. The density of states at the Fermi level is 3.59 states/eV/cell. As for the crystal system: monoclinic. The volume is 63.25 Å³/cell.

Here is Ce3Pa after structural relaxation from Alexandria via LeMat-Bulk. Energies are from PBE.

Lattice parameters (Å, degrees): 5.262 5.262 5.262 60.00 60.00 60.00
Sites, in units of the cell vectors:
1 Ce 0.000 0.000 0.000
2 Ce 0.250 0.250 0.250
3 Ce 0.750 0.750 0.750
4 Pa 0.500 0.500 0.500

The value obtained for the total magnetization is 0.00 μB per formula unit. The density of states at the Fermi level is 12.76 states/eV/cell. As for the crystal system: cubic. Its calculated formation energy is 274 meV per atom. The volume is 103.03 Å³/cell.

Number 1: uncorrected energy -3.363 eV per atom. Number 2: uncorrected energy -9.099 eV per atom. Number 3: uncorrected energy -5.762 eV per atom. Number 4: uncorrected energy -1.985 eV per atom. Number 5: uncorrected energy -6.976 eV per atom. Number 6: uncorrected energy -6.551 eV per atom.